# 1
{"formula": "La6Tb3Tm", "functional": "PBE-GGA", "state": "relaxed", "lattice": [[-0.976, 5.947, -0.242], [0.233, -0.357, -9.726], [-11.883, -2.035, -0.209]], "species": ["La", "La", "La", "La", "La", "La", "La", "La", "La", "La", "La", "La", "Tb", "Tb", "Tb", "Tb", "Tb", "Tb", "Tm", "Tm"], "fractional_positions": [[0.499, 0.850, 0.906], [0.498, 0.847, 0.593], [0.435, 0.453, 0.249], [0.565, 0.547, 0.751], [0.502, 0.153, 0.407], [0.501, 0.150, 0.094], [0.999, 0.650, 0.406], [0.998, 0.653, 0.093], [0.935, 0.047, 0.749], [0.065, 0.953, 0.251], [0.002, 0.347, 0.907], [0.001, 0.350, 0.594], [0.456, 0.198, 0.750], [0.500, 0.500, 0.000], [0.544, 0.802, 0.250], [0.956, 0.302, 0.250], [0.000, 0.000, 0.500], [0.044, 0.698, 0.750], [0.500, 0.500, 0.500], [0.000, 0.000, 0.000]], "dft_energy_ev_per_fu": -46.1, "e_above_lowest_polymorph_ev_per_atom": 0.054, "delta_e_f_mev_per_atom": 179}

=====

# 2
{"formula": "TiMnV2Bi", "functional": "PBE-GGA", "state": "relaxed", "lattice": [[-1.645, 3.028, 2.691], [-4.788, -1.687, -1.028], [0.276, -2.814, 3.335]], "species": ["Mn", "Ti", "Bi", "V", "V"], "fractional_positions": [[0.500, 0.500, 0.500], [0.000, 0.000, 0.000], [0.000, 0.500, 0.000], [0.000, 0.000, 0.500], [0.500, 0.000, 0.000]], "dft_energy_ev_per_fu": -31.2, "delta_e_f_mev_per_atom": 1603}

=====

# 3
{"formula": "Pm5Sm12Ag3", "functional": "PBE-GGA", "state": "relaxed", "lattice": [[-7.221, 7.501, -11.534], [11.418, -8.756, -5.866], [-10.179, -9.073, 7.450]], "species": ["Ag", "Ag", "Ag", "Ag", "Ag", "Ag", "Ag", "Ag", "Ag", "Ag", "Ag", "Ag", "Pm", "Pm", "Pm", "Pm", "Pm", "Pm", "Pm", "Pm", "Pm", "Pm", "Pm", "Pm", "Pm", "Pm", "Pm", "Pm", "Pm", "Pm", "Pm", "Pm", "Sm", "Sm", "Sm", "Sm", "Sm", "Sm", "Sm", "Sm", "Sm", "Sm", "Sm", "Sm", "Sm", "Sm", "Sm", "Sm", "Sm", "Sm", "Sm", "Sm", "Sm", "Sm", "Sm", "Sm", "Sm", "Sm", "Sm", "Sm", "Sm", "Sm", "Sm", "Sm", "Sm", "Sm", "Sm", "Sm", "Sm", "Sm", "Sm", "Sm", "Sm", "Sm", "Sm", "Sm", "Sm", "Sm", "Sm", "Sm"], "fractional_positions": [[0.750, 0.375, 0.125], [0.875, 0.750, 0.125], [0.375, 0.750, 0.625], [0.250, 0.125, 0.375], [0.875, 0.125, 0.250], [0.375, 0.625, 0.250], [0.625, 0.375, 0.750], [0.125, 0.875, 0.750], [0.750, 0.875, 0.625], [0.625, 0.250, 0.375], [0.125, 0.250, 0.875], [0.250, 0.625, 0.875], [0.125, 0.375, 0.250], [0.000, 0.500, 0.000], [0.000, 0.000, 0.000], [0.375, 0.250, 0.125], [0.500, 0.000, 0.500], [0.500, 0.500, 0.000], [0.125, 0.750, 0.375], [0.750, 0.125, 0.875], [0.750, 0.625, 0.375], [0.375, 0.125, 0.750], [0.625, 0.875, 0.250], [0.500, 0.500, 0.500], [0.500, 0.000, 0.000], [0.000, 0.000, 0.500], [0.250, 0.375, 0.625], [0.250, 0.875, 0.125], [0.000, 0.500, 0.500], [0.875, 0.250, 0.625], [0.625, 0.750, 0.875], [0.875, 0.625, 0.750], [0.736, 0.143, 0.073], [0.337, 0.573, 0.430], [0.927, 0.357, 0.264], [0.573, 0.236, 0.143], [0.594, 0.736, 0.663], [0.927, 0.570, 0.163], [0.337, 0.764, 0.406], [0.070, 0.906, 0.143], [0.570, 0.927, 0.663], [0.736, 0.594, 0.163], [0.764, 0.427, 0.357], [0.837, 0.930, 0.073], [0.143, 0.736, 0.573], [0.357, 0.430, 0.094], [0.094, 0.930, 0.357], [0.406, 0.143, 0.570], [0.094, 0.163, 0.236], [0.427, 0.663, 0.070], [0.837, 0.906, 0.264], [0.143, 0.406, 0.070], [0.357, 0.927, 0.764], [0.570, 0.643, 0.406], [0.930, 0.837, 0.573], [0.764, 0.337, 0.906], [0.430, 0.357, 0.594], [0.070, 0.163, 0.427], [0.236, 0.663, 0.094], [0.163, 0.094, 0.736], [0.643, 0.073, 0.236], [0.857, 0.594, 0.930], [0.573, 0.337, 0.930], [0.594, 0.857, 0.430], [0.906, 0.837, 0.764], [0.906, 0.070, 0.643], [0.857, 0.264, 0.427], [0.163, 0.070, 0.927], [0.643, 0.570, 0.906], [0.430, 0.073, 0.337], [0.264, 0.406, 0.837], [0.236, 0.573, 0.643], [0.930, 0.094, 0.857], [0.663, 0.236, 0.594], [0.427, 0.764, 0.857], [0.073, 0.430, 0.837], [0.406, 0.264, 0.337], [0.073, 0.643, 0.736], [0.663, 0.427, 0.570], [0.264, 0.857, 0.927]], "dft_energy_ev_per_fu": -73.2, "delta_e_f_mev_per_atom": 785}

=====

# 4
{"formula": "SrZr2RuN4", "functional": "PBE-GGA", "state": "relaxed", "lattice": [[-1.242, 0.959, 2.914], [5.195, -2.683, 1.217], [5.464, 10.124, -1.005]], "species": ["Sr", "Sr", "Zr", "Zr", "Zr", "Zr", "Ru", "Ru", "N", "N", "N", "N", "N", "N", "N", "N"], "fractional_positions": [[0.107, 0.214, 0.750], [0.893, 0.786, 0.250], [0.368, 0.735, 0.543], [0.632, 0.265, 0.043], [0.632, 0.265, 0.457], [0.368, 0.735, 0.957], [0.841, 0.683, 0.750], [0.159, 0.317, 0.250], [0.263, 0.526, 0.108], [0.737, 0.474, 0.608], [0.737, 0.474, 0.892], [0.263, 0.526, 0.392], [0.000, 0.000, 0.500], [0.000, 0.000, 0.000], [0.432, 0.864, 0.750], [0.568, 0.136, 0.250]], "dft_energy_ev_per_fu": -69.0, "raw_formation_energy_ev_per_fu": -7.6}

=====

# 5
{"formula": "Be8GaAs6", "functional": "PBE-GGA", "state": "relaxed", "lattice": [[6.654, 0.000, 0.000], [-3.327, 5.763, 0.000], [0.000, 0.000, 12.269]], "species": ["Be", "Be", "Be", "Be", "Be", "Be", "Be", "Be", "Be", "Be", "Be", "Be", "Be", "Be", "Be", "Be", "Ga", "Ga", "As", "As", "As", "As", "As", "As", "As", "As", "As", "As", "As", "As"], "fractional_positions": [[0.643, 0.643, 0.277], [0.661, 0.661, 0.642], [0.339, 0.339, 0.142], [0.357, 0.357, 0.777], [0.667, 0.333, 0.895], [0.667, 0.333, 0.395], [0.357, 0.000, 0.277], [0.339, 0.000, 0.642], [0.661, 0.000, 0.142], [0.000, 0.643, 0.777], [0.643, 0.000, 0.777], [0.000, 0.661, 0.142], [0.333, 0.667, 0.395], [0.333, 0.667, 0.895], [0.000, 0.339, 0.642], [0.000, 0.357, 0.277], [0.000, 0.000, 0.413], [0.000, 0.000, 0.913], [0.637, 0.637, 0.459], [0.363, 0.363, 0.959], [0.667, 0.333, 0.703], [0.000, 0.000, 0.701], [0.000, 0.000, 0.201], [0.667, 0.333, 0.203], [0.363, 0.000, 0.459], [0.000, 0.637, 0.959], [0.637, 0.000, 0.959], [0.333, 0.667, 0.203], [0.333, 0.667, 0.703], [0.000, 0.363, 0.459]], "dft_energy_ev_per_fu": -60.7, "delta_e_f_mev_per_atom": 0}

=====

# 6
{"formula": "PrSm4Cd", "functional": "PBE-GGA", "state": "relaxed", "lattice": [[-5.486, 2.316, 0.592], [2.835, -6.673, 3.812], [4.450, 7.700, 5.141]], "species": ["Pr", "Pr", "Sm", "Sm", "Sm", "Sm", "Sm", "Sm", "Sm", "Sm", "Cd", "Cd"], "fractional_positions": [[0.373, 0.623, 0.246], [0.627, 0.377, 0.754], [0.214, 0.965, 0.423], [0.956, 0.810, 0.078], [0.292, 0.543, 0.577], [0.378, 0.731, 0.922], [0.786, 0.035, 0.577], [0.708, 0.457, 0.423], [0.044, 0.190, 0.922], [0.622, 0.269, 0.078], [0.889, 0.139, 0.277], [0.111, 0.861, 0.723]], "dft_energy_ev_per_fu": -24.3, "e_above_lowest_polymorph_ev_per_atom": 0.132, "delta_e_f_mev_per_atom": 39}

=====

# 7
{"formula": "LiZr2InN", "functional": "PBE-GGA", "state": "relaxed", "lattice": [[4.481, 0.000, 0.000], [0.000, 4.481, 0.000], [0.000, 0.000, 4.279]], "species": ["N", "Li", "Zr", "Zr", "In"], "fractional_positions": [[0.000, 0.000, 0.000], [0.000, 0.000, 0.500], [0.000, 0.500, 0.000], [0.500, 0.000, 0.000], [0.500, 0.500, 0.500]], "dft_energy_ev_per_fu": -34.0, "raw_formation_energy_ev_per_fu": -3.9}

=====

# 8
{"formula": "Tm4AgPd2", "functional": "PBE-GGA", "state": "relaxed", "lattice": [[4.689, 0.000, 1.465], [2.116, 4.185, 1.465], [-0.075, -0.046, 8.476]], "species": ["Tm", "Tm", "Tm", "Tm", "Ag", "Pd", "Pd"], "fractional_positions": [[0.872, 0.872, 0.383], [0.128, 0.128, 0.617], [0.621, 0.621, 0.136], [0.379, 0.379, 0.864], [0.000, 0.000, 0.000], [0.751, 0.751, 0.747], [0.249, 0.249, 0.253]], "dft_energy_ev_per_fu": -35.2, "e_above_lowest_polymorph_ev_per_atom": 0.000, "delta_e_f_mev_per_atom": -582}

=====

# 9
{"formula": "AlIn2Si", "functional": "PBE-GGA", "state": "relaxed", "lattice": [[-1.933, 0.468, 2.657], [-2.501, -0.698, -2.067], [0.644, -7.712, 1.826]], "species": ["Si", "Al", "In", "In"], "fractional_positions": [[0.500, 0.500, 0.250], [0.500, 0.500, 0.750], [0.000, 0.000, 0.009], [0.000, 0.000, 0.491]], "dft_energy_ev_per_fu": -13.3, "raw_formation_energy_ev_per_fu": 1.3}

=====

# 10
{"formula": "KCaPb2", "functional": "PBE-GGA", "state": "relaxed", "lattice": [[11.442, 0.011, 0.007], [10.818, 3.726, 0.007], [10.818, 1.816, 3.254]], "species": ["Ca", "K", "Pb", "Pb"], "fractional_positions": [[0.750, 0.750, 0.750], [0.250, 0.250, 0.250], [0.005, 0.005, 0.005], [0.495, 0.495, 0.495]], "dft_energy_ev_per_fu": -11.3, "delta_e_f_mev_per_atom": -196}

=====

# 11
{"formula": "Fe3PbAu", "functional": "PBE-GGA", "state": "relaxed", "lattice": [[4.803, 0.000, 0.000], [0.000, 4.803, 0.000], [0.000, 0.000, 4.803]], "species": ["Pb", "Au", "Fe", "Fe", "Fe"], "fractional_positions": [[0.500, 0.500, 0.500], [0.000, 0.000, 0.000], [0.000, 0.500, 0.000], [0.000, 0.000, 0.500], [0.500, 0.000, 0.000]], "dft_energy_ev_per_fu": -26.9, "e_above_lowest_polymorph_ev_per_atom": 0.000, "delta_e_f_mev_per_atom": 1095}

=====

# 12
{"formula": "TbPm6Pr8", "functional": "PBE-GGA", "state": "relaxed", "lattice": [[8.010, 0.108, 3.848], [2.465, 7.622, 3.848], [0.147, 0.108, 8.885]], "species": ["Tb", "Pm", "Pm", "Pm", "Pm", "Pm", "Pm", "Pr", "Pr", "Pr", "Pr", "Pr", "Pr", "Pr", "Pr"], "fractional_positions": [[0.000, 0.000, 0.000], [0.902, 0.460, 0.758], [0.242, 0.098, 0.540], [0.540, 0.242, 0.098], [0.460, 0.758, 0.902], [0.758, 0.902, 0.460], [0.098, 0.540, 0.242], [0.113, 0.716, 0.751], [0.249, 0.887, 0.284], [0.284, 0.249, 0.887], [0.578, 0.578, 0.578], [0.422, 0.422, 0.422], [0.716, 0.751, 0.113], [0.751, 0.113, 0.716], [0.887, 0.284, 0.249]], "dft_energy_ev_per_fu": -69.7, "e_above_lowest_polymorph_ev_per_atom": 0.000, "delta_e_f_mev_per_atom": 111}